(1)
Below is a relaxed BaNaAuBr crystal, with properties calculated at the PBE level.

CIF file:
```
data_BaNaAuBr
_chemical_formula_sum 'Ba4 Na4 Au4 Br4'
_cell_length_a 7.933
_cell_length_b 7.933
_cell_length_c 7.933
_cell_angle_alpha 90.00
_cell_angle_beta 90.00
_cell_angle_gamma 90.00
_symmetry_space_group_name_H-M 'P 1'
_symmetry_Int_Tables_number 1
_symmetry_space_group_name_Hall 'P 1'
loop_
_atom_site_label
_atom_site_fract_x
_atom_site_fract_y
_atom_site_fract_z
Ba1 0.000 0.000 0.000
Ba2 0.000 0.500 0.500
Ba3 0.500 0.000 0.500
Ba4 0.500 0.500 0.000
Na1 0.000 0.000 0.500
Na2 0.000 0.500 0.000
Na3 0.500 0.000 0.000
Na4 0.500 0.500 0.500
Au1 0.250 0.250 0.750
Au2 0.250 0.750 0.250
Au3 0.750 0.250 0.250
Au4 0.750 0.750 0.750
Br1 0.250 0.250 0.250
Br2 0.250 0.750 0.750
Br3 0.750 0.250 0.750
Br4 0.750 0.750 0.250
```

Results
For the formation energy without anion corrections, the calculation gives -0.92 eV per atom. The calculation puts the spin magnetization at 2.62 μB per cell. The symmetry is F-43m, No. 216. For the total energy, the calculation gives -11.882 eV/f.u.

(2)
Below is a relaxed Sm5Ga2Ge crystal, with properties calculated at the PBE level.

CIF file:
```
data_Sm5Ga2Ge
_chemical_formula_sum 'Sm10 Ga4 Ge2'
_cell_length_a 8.937
_cell_length_b 8.937
_cell_length_c 8.937
_cell_angle_alpha 128.09
_cell_angle_beta 128.09
_cell_angle_gamma 76.48
_symmetry_space_group_name_H-M 'P 1'
_symmetry_Int_Tables_number 1
_symmetry_space_group_name_Hall 'P 1'
loop_
_atom_site_label
_atom_site_fract_x
_atom_site_fract_y
_atom_site_fract_z
Sm1 0.000 0.000 0.000
Sm2 0.022 0.522 0.842
Sm3 0.179 0.022 0.500
Sm4 0.321 0.821 0.842
Sm5 0.478 0.321 0.500
Sm6 0.500 0.500 0.000
Sm7 0.522 0.679 0.500
Sm8 0.679 0.179 0.158
Sm9 0.821 0.978 0.500
Sm10 0.978 0.478 0.158
Ga1 0.121 0.379 0.500
Ga2 0.379 0.879 0.259
Ga3 0.621 0.121 0.741
Ga4 0.879 0.621 0.500
Ge1 0.250 0.250 0.000
Ge2 0.750 0.750 0.000
```

Results
For the formation energy, the calculation gives -0.541 eV/atom. The calculation puts the spin magnetization at 0.00 μB per cell. The symmetry is I4/mcm, No. 140. For the total energy, the calculation gives -38.592 eV/f.u.

(3)
Below is a relaxed Re2GeMo crystal, with properties calculated at the PBE level.

CIF file:
```
data_Re2GeMo
_chemical_formula_sum 'Re8 Ge4 Mo4'
_cell_length_a 3.770
_cell_length_b 3.770
_cell_length_c 18.691
_cell_angle_alpha 90.00
_cell_angle_beta 90.00
_cell_angle_gamma 90.00
_symmetry_space_group_name_H-M 'P 1'
_symmetry_Int_Tables_number 1
_symmetry_space_group_name_Hall 'P 1'
loop_
_atom_site_label
_atom_site_fract_x
_atom_site_fract_y
_atom_site_fract_z
Re1 0.211 0.250 0.125
Re2 0.250 0.711 0.375
Re3 0.250 0.789 0.875
Re4 0.289 0.250 0.625
Re5 0.711 0.750 0.625
Re6 0.750 0.211 0.875
Re7 0.750 0.289 0.375
Re8 0.789 0.750 0.125
Ge1 0.000 0.000 0.000
Ge2 0.000 0.500 0.250
Ge3 0.500 0.000 0.750
Ge4 0.500 0.500 0.500
Mo1 0.000 0.000 0.500
Mo2 0.000 0.500 0.750
Mo3 0.500 0.000 0.250
Mo4 0.500 0.500 0.000
```

Results
For the formation energy, the calculation gives 0.662 eV/atom. The calculation puts the spin magnetization at 0.00 μB per cell. The symmetry is I-42d, No. 122. For the total energy, the calculation gives -37.697 eV/f.u.

(4)
Below is a relaxed HoTl2Ge2O6 crystal, with properties calculated at the PBE level.

CIF file:
```
data_HoTl2Ge2O6
_chemical_formula_sum 'Ho1 Tl2 Ge2 O6'
_cell_length_a 6.057
_cell_length_b 6.057
_cell_length_c 7.068
_cell_angle_alpha 117.55
_cell_angle_beta 117.55
_cell_angle_gamma 60.25
_symmetry_space_group_name_H-M 'P 1'
_symmetry_Int_Tables_number 1
_symmetry_space_group_name_Hall 'P 1'
loop_
_atom_site_label
_atom_site_fract_x
_atom_site_fract_y
_atom_site_fract_z
Ho1 0.000 0.000 0.000
Tl1 0.209 0.209 0.666
Tl2 0.791 0.791 0.334
Ge1 0.446 0.446 0.280
Ge2 0.554 0.554 0.720
O1 0.234 0.713 0.752
O2 0.251 0.251 0.158
O3 0.287 0.766 0.248
O4 0.713 0.234 0.752
O5 0.749 0.749 0.842
O6 0.766 0.287 0.248
```

Results
For the formation energy without anion corrections, the calculation gives -1.69 eV per atom. The calculation puts the spin magnetization at 0.95 μB per cell. The symmetry is C2/m, No. 12. For the total energy, the calculation gives -66.870 eV/f.u.

(5)
Below is a relaxed Hf2MoHRh crystal, with properties calculated at the PBE level.

CIF file:
```
data_Hf2MoHRh
_chemical_formula_sum 'Hf2 Mo1 H1 Rh1'
_cell_length_a 4.617
_cell_length_b 4.617
_cell_length_c 3.471
_cell_angle_alpha 90.00
_cell_angle_beta 90.00
_cell_angle_gamma 90.00
_symmetry_space_group_name_H-M 'P 1'
_symmetry_Int_Tables_number 1
_symmetry_space_group_name_Hall 'P 1'
loop_
_atom_site_label
_atom_site_fract_x
_atom_site_fract_y
_atom_site_fract_z
Hf1 0.000 0.500 0.000
Hf2 0.500 0.000 0.000
Mo1 0.000 0.000 0.500
H1 0.000 0.000 0.000
Rh1 0.500 0.500 0.500
```

Results
For the energy above the most stable polymorph in this dataset, the calculation gives 0 meV per atom. The calculation puts the spin magnetization at 0.00 μB per cell. The symmetry is P4/mmm, No. 123. For the total energy, the calculation gives -43.742 eV/f.u.

(6)
Below is a relaxed NaCrCoS3 crystal, with properties calculated at the PBE level.

CIF file:
```
data_NaCrCoS3
_chemical_formula_sum 'Na2 Cr2 Co2 S6'
_cell_length_a 7.532
_cell_length_b 3.495
_cell_length_c 8.625
_cell_angle_alpha 90.00
_cell_angle_beta 110.23
_cell_angle_gamma 90.00
_symmetry_space_group_name_H-M 'P 1'
_symmetry_Int_Tables_number 1
_symmetry_space_group_name_Hall 'P 1'
loop_
_atom_site_label
_atom_site_fract_x
_atom_site_fract_y
_atom_site_fract_z
Na1 0.225 0.250 0.245
Na2 0.775 0.750 0.755
Cr1 0.314 0.750 0.838
Cr2 0.686 0.250 0.162
Co1 0.085 0.250 0.603
Co2 0.915 0.750 0.397
S1 0.109 0.250 0.863
S2 0.230 0.750 0.545
S3 0.459 0.750 0.138
S4 0.541 0.250 0.862
S5 0.770 0.250 0.455
S6 0.891 0.750 0.137
```

Results
For the formation energy without anion corrections, the calculation gives -0.73 eV per atom. The calculation puts the spin magnetization at 1.34 μB per cell. The symmetry is P2_1/m, No. 11. For the total energy, the calculation gives -34.829 eV/f.u.

(7)
Below is a relaxed K5UO6 crystal, with properties calculated at the PBE level.

CIF file:
```
data_K5UO6
_chemical_formula_sum 'K5 U1 O6'
_cell_length_a 6.544
_cell_length_b 6.544
_cell_length_c 6.514
_cell_angle_alpha 100.18
_cell_angle_beta 100.18
_cell_angle_gamma 119.45
_symmetry_space_group_name_H-M 'P 1'
_symmetry_Int_Tables_number 1
_symmetry_space_group_name_Hall 'P 1'
loop_
_atom_site_label
_atom_site_fract_x
_atom_site_fract_y
_atom_site_fract_z
K1 0.000 0.000 0.000
K2 0.167 0.833 0.500
K3 0.333 0.667 0.000
K4 0.667 0.333 0.000
K5 0.833 0.167 0.500
U1 0.500 0.500 0.500
O1 0.174 0.433 0.295
O2 0.312 0.312 0.696
O3 0.433 0.174 0.295
O4 0.567 0.826 0.705
O5 0.688 0.688 0.304
O6 0.826 0.567 0.705
```

Results
For the formation energy without anion corrections, the calculation gives -2.06 eV per atom. The calculation puts the spin magnetization at 1.19 μB per cell. The symmetry is C2/m, No. 12. For the total energy, the calculation gives -71.220 eV/f.u.